A plane-wave DFT calculation with PBE with a Hubbard U was carried out for Ni2Hg2RuO6 after structural relaxation.

Output
Space group = C2/m (12)
Raw total energy = -4.76 eV per atom
D(E_F) = 1.53 states/eV/cell

POSCAR file:
```
Ni2Hg2RuO6
1.0
-0.835 5.286 -0.723
-0.832 -2.295 4.817
5.455 1.874 2.562
Ni Hg Ru O
2 2 1 6
Cartesian
1.894 1.219 4.214
1.893 3.646 2.441
-0.835 4.050 0.180
-0.833 -1.059 3.914
2.727 0.937 1.281
2.548 3.192 4.367
2.617 5.628 2.385
1.239 1.673 2.289
2.619 0.563 6.086
1.170 -0.763 4.271
1.168 4.301 0.570
```